A plane-wave DFT calculation with PBE-GGA was carried out for an optimized crystal structure of Ba2NaCdSb2.

a = 9.5148 Å, b = 9.5148 Å, c = 9.5148 Å
α = 135.78°, β = 64.78°, γ = 135.18°
Positions (direct):
Ba 0.1621 0.2432 0.4052
Ba 0.3379 0.7432 0.0811
Ba 0.6621 0.2568 0.9189
Ba 0.8379 0.7568 0.5948
Na 0.2500 0.7500 0.5000
Na 0.7500 0.2500 0.5000
Cd 0.2500 0.2500 0.0000
Cd 0.7500 0.7500 0.0000
Sb 0.1171 0.7525 0.8696
Sb 0.3829 0.2525 0.6354
Sb 0.6171 0.7475 0.3646
Sb 0.8829 0.2475 0.1304

Results
- V: 34.8 A^3/atom
- Final energy: -3.098 eV/atom
- M_tot: 0.00 μB/cell